Record 1
Ta6Nb4W | PBE-GGA | relaxed

The value obtained for the density of states at the Fermi level is 12.6 states/eV/f.u. The calculation puts the total DFT energy (no corrections) at -244.28 eV/cell. The calculation puts the formation energy from the elements at 0.2009 eV/atom.

The space group is P6_3/mmc (No. 194) and the conventional cell measures 4.7497, 4.7497 and 20.7097 Å, with angles of 90.00, 90.00 and 120.00 degrees. The inequivalent atoms are Ta at (0.0000, 0.0000, 0.0000), Ta at (0.0000, 0.0000, 0.2500), Ta at (0.3333, 0.6667, 0.0929), Ta at (0.3333, 0.6667, 0.6815), Nb at (0.0000, 0.0000, 0.1296), Nb at (0.3333, 0.6667, 0.5451) and W at (0.3333, 0.6667, 0.2500).

Record 2
CsNb3Tl | PBE-GGA | relaxed

The value obtained for the density of states at the Fermi level is 7.1 states/eV/f.u. The calculation puts the energy above the most stable polymorph in this dataset at 0 meV per atom. The calculation puts the total DFT energy (no corrections) at -22.37 eV/cell. The calculation puts the formation energy from the elements at 2.2127 eV/atom.

The space group is Pm-3m (No. 221) and the conventional cell measures 5.355, 5.355 and 5.355 Å, with angles of 90.00, 90.00 and 90.00 degrees. The inequivalent atoms are Cs at (0.000, 0.000, 0.000), Nb at (0.000, 0.500, 0.500) and Tl at (0.500, 0.500, 0.500).

Record 3
Mn4Ni3 | PBE-GGA | relaxed

The value obtained for the density of states at the Fermi level is 6.1 states/eV/f.u. The calculation puts the energy above the most stable polymorph in this dataset at 0 meV per atom. The calculation puts the total DFT energy (no corrections) at -53.35 eV/cell. The calculation puts the formation energy from the elements at 0.0953 eV/atom.

The space group is P6/mmm (No. 191) and the conventional cell measures 4.7095, 4.7095 and 4.4137 Å, with angles of 90.00, 90.00 and 120.00 degrees. The inequivalent atoms are Mn at (0.0000, 0.0000, 0.2397), Mn at (0.3333, 0.6667, 0.0000) and Ni at (0.0000, 0.5000, 0.5000).

Record 4
SrY2Pb | PBE-GGA | relaxed

The value obtained for the density of states at the Fermi level is 3.0 states/eV/f.u. The calculation puts the total DFT energy (no corrections) at -37.86 eV/cell. The calculation puts the formation energy from the elements at -0.1527 eV/atom.

The space group is I-4m2 (No. 119) and the conventional cell measures 4.832, 4.832 and 11.111 Å, with angles of 90.00, 90.00 and 90.00 degrees. The inequivalent atoms are Sr at (0.000, 0.000, 0.000), Y at (0.000, 0.000, 0.500), Y at (0.000, 0.500, 0.750) and Pb at (0.000, 0.500, 0.250).

Look up the formation energy from the elements of the second one.
2.2127 eV/atom

Please write out number 4 again, unchanged.
SrY2Pb | PBE-GGA | relaxed

The value obtained for the density of states at the Fermi level is 3.0 states/eV/f.u. The calculation puts the total DFT energy (no corrections) at -37.86 eV/cell. The calculation puts the formation energy from the elements at -0.1527 eV/atom.

The space group is I-4m2 (No. 119) and the conventional cell measures 4.832, 4.832 and 11.111 Å, with angles of 90.00, 90.00 and 90.00 degrees. The inequivalent atoms are Sr at (0.000, 0.000, 0.000), Y at (0.000, 0.000, 0.500), Y at (0.000, 0.500, 0.750) and Pb at (0.000, 0.500, 0.250).

Which value of formation energy from the elements does entry 1 give?
0.2009 eV/atom

Which value of formation energy from the elements does entry 4 give?
-0.1527 eV/atom